1.
First-principles (GGA-PBEsol) data for a relaxed structure of Ca2IrPt, as listed in the Alexandria database. Values from VASP.

## Properties
- ΔH_f (0 K): -0.330 eV/atom
- Symmetry: No. 44
- Theoretical density: 9.54 g/cm³

Cell and atoms, written as Quantum ESPRESSO input:
```
&SYSTEM
  ibrav = 0, nat = 4, ntyp = 3
/
ATOMIC_SPECIES
Ca 40.08 Ca.upf
Ir 192.22 Ir.upf
Pt 195.08 Pt.upf
CELL_PARAMETERS angstrom
-0.483 -2.950 -0.233
0.798 0.246 -4.762
5.303 0.389 3.363
ATOMIC_POSITIONS crystal
Ca 0.781 0.281 0.563
Ca 0.975 0.975 0.950
Ir 0.526 0.526 0.052
Pt 0.218 0.718 0.436
```

2.
First-principles (GGA-PBEsol) data for a relaxed structure of Ca2YRe, as listed in the Alexandria database. Values from VASP.

## Properties
- ΔH_f (0 K): 0.698 eV/atom
- Symmetry: No. 47
- Theoretical density: 6.18 g/cm³

Cell and atoms, written as Quantum ESPRESSO input:
```
&SYSTEM
  ibrav = 0, nat = 4, ntyp = 3
/
ATOMIC_SPECIES
Y 88.91 Y.upf
Ca 40.08 Ca.upf
Re 186.21 Re.upf
CELL_PARAMETERS angstrom
3.035 0.000 0.000
0.000 4.958 0.000
0.000 0.000 6.340
ATOMIC_POSITIONS crystal
Y 0.500 0.500 0.500
Ca 0.000 0.000 0.223
Ca 0.000 0.000 0.777
Re 0.500 0.500 0.000
```

3.
First-principles (GGA-PBEsol) data for a relaxed structure of KAsPdSe2, as listed in the Alexandria database. Values from VASP.

## Properties
- Symmetry: No. 123
- Theoretical density: 4.24 g/cm³
- ΔE_f (raw): 1.595 eV/atom

Cell and atoms, written as Quantum ESPRESSO input:
```
&SYSTEM
  ibrav = 0, nat = 5, ntyp = 4
/
ATOMIC_SPECIES
Se 78.96 Se.upf
K 39.10 K.upf
As 74.92 As.upf
Pd 106.42 Pd.upf
CELL_PARAMETERS angstrom
5.178 0.000 0.000
0.000 5.351 0.000
0.000 0.000 5.351
ATOMIC_POSITIONS crystal
Se 0.000 0.000 0.500
Se 0.000 0.500 0.000
K 0.000 0.000 0.000
As 0.500 0.000 0.000
Pd 0.500 0.500 0.500
```

Number 2 is which compound?
Ca2YRe